Density functional theory data (PBE) for a geometry-optimized SrZnRe2F structure.

Output
- energy relative to the elements, uncorrected (eV/atom) = 0.878
- space group = No. 123
- raw total energy (eV for the cell shown) = -25.33

Cell lengths 4.2121, 5.2185, 4.2121 Å; angles 90.00, 90.00, 90.00 degrees
Closest atoms and distances in Å follow each position.
Sites, in units of the cell vectors:
Re 0.0000 0.0000 0.5000  2 F 2.11
Re 0.5000 0.0000 0.0000  2 F 2.11
Zn 0.0000 0.5000 0.0000  2 F 2.61
F 0.0000 0.0000 0.0000  4 Re 2.11
Sr 0.5000 0.5000 0.5000  4 Zn 2.98